This record from Alexandria via LeMat-Bulk describes Er2TmZr after structural relaxation. The functional is GGA-PBE.

- SG = Cm
- magnetic moment (μB per formula unit) = 0.00
- density of states at the Fermi level (states/eV/f.u.) = 5.9
- calculated formation energy (meV per atom) = 55
- uncorrected energy (eV per atom) = -5.482
- E above lowest polymorph (meV per atom) = 0

a = 3.4356 Å, b = 5.9558 Å, c = 11.2424 Å
α = 84.99°, β = 98.76°, γ = 89.99°
With the nearest neighbours (Å) after each atom.
Sites, in units of the cell vectors:
Tm 0.5430 0.9387 0.5728  6 Tm 3.44, 6 Er 3.49-3.54
Tm 0.0425 0.4393 0.5717  6 Tm 3.44, 6 Er 3.50-3.54
Er 0.9120 0.1496 0.3092  3 Zr 3.29-3.31, 6 Er 3.43-3.44, 3 Tm 3.52-3.53
Er 0.4109 0.6505 0.3071  3 Zr 3.30-3.31, 6 Er 3.43-3.44, 3 Tm 3.54
Er 0.6737 0.2292 0.8327  3 Zr 3.27-3.28, 6 Er 3.44, 3 Tm 3.49-3.51
Er 0.1748 0.7285 0.8349  3 Zr 3.28, 6 Er 3.44, 3 Tm 3.51-3.52
Zr 0.7915 0.8616 0.0694  6 Er 3.27-3.31, 6 Zr 3.39-3.49
Zr 0.2912 0.3523 0.0692  6 Er 3.28-3.31, 6 Zr 3.39-3.49